Arrangement 1

## DyLuPt2 (PBE)

Data for a geometry-optimized DyLuPt2 structure.

abc: 4.8939 4.8939 4.8939
angles: 60.00 60.00 60.00
Last column: nearest neighbours and their distance in Å.
Fractional coordinates of all 4 atoms:
Dy  0.0000  0.0000  0.0000  8 Pt 3.00
Lu  0.5000  0.5000  0.5000  8 Pt 3.00
Pt  0.2500  0.2500  0.2500  4 Lu 3.00, 4 Dy 3.00
Pt  0.7500  0.7500  0.7500  4 Lu 3.00, 4 Dy 3.00

Values from the calculation:
For the size of the total moment, the calculation gives 0.00 μB per atom. The space-group type is Fm-3m. Its volume is 20.720 Å³ per atom.

=====

Arrangement 2

## DyLuPt2 (PBE)

Data for a geometry-optimized DyLuPt2 structure.

abc: 6.9749 6.9749 6.9749
angles: 33.58 33.58 33.58
Last column: nearest neighbours and their distance in Å.
Fractional coordinates of all 4 atoms:
Dy  0.0000  0.0000  0.0000  6 Pt 2.88
Lu  0.5000  0.5000  0.5000  6 Pt 2.82
Pt  0.2473  0.2473  0.2473  3 Lu 2.82, 3 Dy 2.88
Pt  0.7527  0.7527  0.7527  3 Lu 2.82, 3 Dy 2.88

Values from the calculation:
For the size of the total moment, the calculation gives 0.00 μB per atom. The space-group type is R-3m. Its volume is 23.119 Å³ per atom.

=====

So which one is most stable? That would be arrangement 1, about 117 meV/atom below the next structure.

=====

Arrangement 1

## Dy2LuPt (PBE)

Data for a geometry-optimized Dy2LuPt structure.

abc: 3.5664 3.5664 8.2397
angles: 90.00 90.00 90.00
Last column: nearest neighbours and their distance in Å.
Fractional coordinates of all 4 atoms:
Dy  0.0000  0.0000  0.2001  4 Pt 3.01, 1 Dy 3.30
Dy  0.0000  0.0000  0.7999  4 Pt 3.01, 1 Dy 3.30
Lu  0.5000  0.5000  0.5000  8 Dy 3.53, 4 Lu 3.57
Pt  0.5000  0.5000  0.0000  8 Dy 3.01

Values from the calculation:
For the size of the total moment, the calculation gives 0.00 μB per atom. The space-group type is P4/mmm. Its volume is 26.200 Å³ per atom.

=====

Arrangement 2

## Dy2LuPt (PBE)

Data for a geometry-optimized Dy2LuPt structure.

abc: 9.6657 9.6657 9.6657
angles: 22.38 22.38 22.38
Last column: nearest neighbours and their distance in Å.
Fractional coordinates of all 4 atoms:
Dy  0.2305  0.2305  0.2305  3 Pt 2.82
Dy  0.7695  0.7695  0.7695  3 Pt 2.82
Lu  0.0000  0.0000  0.0000  6 Dy 3.62, 6 Lu 3.75
Pt  0.5000  0.5000  0.5000  6 Dy 2.82

Values from the calculation:
For the size of the total moment, the calculation gives 0.00 μB per atom. The space-group type is R-3m. Its volume is 28.703 Å³ per atom.

=====

So which one is most stable? That would be arrangement 1, about 96 meV/atom below the next structure.